SiPt2Cl: optimized geometry, PBE.

## Properties
**Polymorph energy (0 for the lowest one)**: 342 meV/atom
**Formation energy from raw total energies**: 0.02 eV/atom

a b c (Å): 3.4807 4.6152 4.7054
angles (deg): 90.00 110.88 90.00
Last column: nearest neighbours and their distance in Å.
Element x y z (fractional)
Si  0.0000  0.0000  0.0000  4 Pt 2.37-2.61
Pt  0.3108  0.0000  0.6271  2 Si 2.37-2.42
Pt  0.8206  0.5000  0.7235  2 Cl 2.30-2.51
Cl  0.6706  0.5000  0.2072  2 Pt 2.30-2.51



SiPt2Cl: optimized geometry, PBE.

## Properties
**Polymorph energy (0 for the lowest one)**: 226 meV/atom
**Formation energy from raw total energies**: -0.09 eV/atom

a b c (Å): 2.8871 6.1798 8.2465
angles (deg): 90.00 90.00 90.00
Last column: nearest neighbours and their distance in Å.
Element x y z (fractional)
Si  0.0000  0.0000  0.0000  4 Pt 2.33
Si  0.5000  0.5000  0.5000  4 Pt 2.33
Pt  0.0000  0.5000  0.2782  2 Si 2.33
Pt  0.0000  0.5000  0.7218  2 Si 2.33
Pt  0.5000  0.0000  0.2218  2 Si 2.33
Pt  0.5000  0.0000  0.7782  2 Si 2.33
Cl  0.0000  0.0000  0.5000  4 Pt 2.71, 2 Cl 2.89
Cl  0.5000  0.5000  0.0000  4 Pt 2.71, 2 Cl 2.89



SiPtCl2: optimized geometry, PBE.

## Properties
**Polymorph energy (0 for the lowest one)**: 42 meV/atom
**Formation energy from raw total energies**: -0.50 eV/atom

a b c (Å): 12.7824 3.0970 5.6517
angles (deg): 90.00 109.06 90.00
Last column: nearest neighbours and their distance in Å.
Element x y z (fractional)
Si  0.0000  0.0000  0.0000  1 Cl 2.05, 2 Pt 2.29
Si  0.5000  0.5000  0.0000  1 Cl 2.05, 2 Pt 2.29
Pt  0.0393  0.5000  0.7438  2 Si 2.29, 1 Cl 2.46
Pt  0.5393  0.0000  0.7438  2 Si 2.29, 1 Cl 2.46
Cl  0.0954  0.5000  0.3669  1 Pt 2.46, 2 Si 2.56
Cl  0.3512  0.5000  0.0632  1 Si 2.05
Cl  0.5954  0.0000  0.3669  1 Pt 2.46, 2 Si 2.56
Cl  0.8512  0.0000  0.0632  1 Si 2.05



SiPtCl2: optimized geometry, PBE.

## Properties
**Polymorph energy (0 for the lowest one)**: 0 meV/atom
**Formation energy from raw total energies**: -0.54 eV/atom

a b c (Å): 3.4727 3.4727 25.0314
angles (deg): 90.00 90.00 120.00
Last column: nearest neighbours and their distance in Å.
Element x y z (fractional)
Si  0.0000  0.0000  0.0000  3 Pt 2.34
Si  0.3333  0.6667  0.6667  3 Pt 2.34
Si  0.6667  0.3333  0.3333  3 Pt 2.34
Pt  0.0000  0.0000  0.7150  3 Si 2.34
Pt  0.3333  0.6667  0.3817  3 Si 2.34
Pt  0.6667  0.3333  0.0483  3 Si 2.34
Cl  0.0000  0.0000  0.2641  3 Si 2.65
Cl  0.0000  0.0000  0.4499  3 Pt 2.63
Cl  0.3333  0.6667  0.1166  3 Pt 2.63
Cl  0.3333  0.6667  0.9307  3 Si 2.65
Cl  0.6667  0.3333  0.5974  3 Si 2.65
Cl  0.6667  0.3333  0.7833  3 Pt 2.63



Si2PtCl: optimized geometry, PBE.

## Properties
**Polymorph energy (0 for the lowest one)**: 998 meV/atom
**Formation energy from raw total energies**: 0.51 eV/atom

a b c (Å): 6.3957 6.3957 6.3957
angles (deg): 90.00 90.00 90.00
Last column: nearest neighbours and their distance in Å.
Element x y z (fractional)
Si  0.0000  0.0000  0.0000  4 Cl 2.77, 4 Si 2.77
Si  0.0000  0.5000  0.5000  4 Cl 2.77, 4 Si 2.77
Si  0.2500  0.2500  0.2500  4 Pt 2.77, 4 Si 2.77
Si  0.2500  0.7500  0.7500  4 Pt 2.77, 4 Si 2.77
Si  0.5000  0.0000  0.5000  4 Cl 2.77, 4 Si 2.77
Si  0.5000  0.5000  0.0000  4 Cl 2.77, 4 Si 2.77
Si  0.7500  0.2500  0.7500  4 Pt 2.77, 4 Si 2.77
Si  0.7500  0.7500  0.2500  4 Pt 2.77, 4 Si 2.77
Pt  0.0000  0.0000  0.5000  4 Si 2.77, 4 Cl 2.77
Pt  0.0000  0.5000  0.0000  4 Si 2.77, 4 Cl 2.77
Pt  0.5000  0.0000  0.0000  4 Si 2.77, 4 Cl 2.77
Pt  0.5000  0.5000  0.5000  4 Cl 2.77, 4 Si 2.77
Cl  0.2500  0.2500  0.7500  4 Pt 2.77, 4 Si 2.77
Cl  0.2500  0.7500  0.2500  4 Pt 2.77, 4 Si 2.77
Cl  0.7500  0.2500  0.2500  4 Pt 2.77, 4 Si 2.77
Cl  0.7500  0.7500  0.7500  4 Si 2.77, 4 Pt 2.77



SiPtCl2: optimized geometry, PBE.

## Properties
**Polymorph energy (0 for the lowest one)**: 1130 meV/atom
**Formation energy from raw total energies**: 0.59 eV/atom

a b c (Å): 4.4380 4.4380 3.6843
angles (deg): 90.00 90.00 90.00
Last column: nearest neighbours and their distance in Å.
Element x y z (fractional)
Si  0.0000  0.0000  0.0000  8 Cl 2.88, 4 Pt 3.14
Pt  0.5000  0.5000  0.0000  8 Cl 2.88, 4 Si 3.14
Cl  0.0000  0.5000  0.5000  4 Pt 2.88, 4 Si 2.88, 4 Cl 3.14
Cl  0.5000  0.0000  0.5000  4 Pt 2.88, 4 Si 2.88, 4 Cl 3.14



Si2TePtCl: optimized geometry, PBE.

## Properties
**Formation energy from raw total energies**: 1.35 eV/atom

a b c (Å): 5.2252 5.2252 4.9487
angles (deg): 90.00 90.00 90.00
Last column: nearest neighbours and their distance in Å.
Element x y z (fractional)
Si  0.0000  0.5000  0.0000  2 Te 2.61
Si  0.5000  0.0000  0.0000  2 Te 2.61
Te  0.0000  0.0000  0.0000  2 Cl 2.47, 4 Si 2.61
Pt  0.5000  0.5000  0.5000  8 Si 3.60, 4 Cl 3.69
Cl  0.0000  0.0000  0.5000  2 Te 2.47



SiPtWCl2: optimized geometry, PBE.

## Properties
**Formation energy from raw total energies**: 1.29 eV/atom

a b c (Å): 4.7149 4.7149 5.2554
angles (deg): 90.00 90.00 90.00
Last column: nearest neighbours and their distance in Å.
Element x y z (fractional)
Si  0.0000  0.0000  0.0000  4 W 3.33, 8 Cl 3.53
Pt  0.5000  0.5000  0.5000  4 Cl 2.36, 2 W 2.63
W  0.5000  0.5000  0.0000  2 Pt 2.63
Cl  0.0000  0.5000  0.5000  2 Pt 2.36
Cl  0.5000  0.0000  0.5000  2 Pt 2.36



Sm4PtCl5: optimized geometry, PBE.

## Properties
**Formation energy from raw total energies**: -1.76 eV/atom

a b c (Å): 9.4664 9.4664 8.4655
angles (deg): 104.63 104.63 24.79
Last column: nearest neighbours and their distance in Å.
Element x y z (fractional)
Sm  0.0007  0.0007  0.2288  2 Pt 2.80, 4 Cl 3.00-3.11
Sm  0.3445  0.3445  0.9039  1 Pt 2.78, 5 Cl 2.80-3.10
Sm  0.6555  0.6555  0.0961  1 Pt 2.78, 5 Cl 2.80-3.10
Sm  0.9993  0.9993  0.7712  2 Pt 2.80, 4 Cl 3.00-3.11
Pt  0.5000  0.5000  0.0000  6 Sm 2.78-2.80
Cl  0.1687  0.1687  0.3299  3 Sm 2.80-3.00
Cl  0.1734  0.1734  0.8672  4 Sm 2.89-3.11
Cl  0.5000  0.5000  0.5000  4 Sm 3.07
Cl  0.8266  0.8266  0.1328  4 Sm 2.89-3.11
Cl  0.8313  0.8313  0.6701  3 Sm 2.80-3.00



Sm7PtCl12: optimized geometry, PBE.

## Properties
**Formation energy from raw total energies**: -1.94 eV/atom

a b c (Å): 9.1386 9.1386 9.1386
angles (deg): 107.78 107.78 107.78
Last column: nearest neighbours and their distance in Å.
Element x y z (fractional)
Sm  0.0000  0.0000  0.0000  6 Cl 2.78
Sm  0.1716  0.3781  0.4712  1 Pt 2.76, 5 Cl 2.83-2.97
Sm  0.3781  0.4712  0.1716  1 Pt 2.76, 5 Cl 2.83-2.97
Sm  0.4712  0.1716  0.3781  1 Pt 2.76, 5 Cl 2.83-2.97
Sm  0.5288  0.8284  0.6219  1 Pt 2.76, 5 Cl 2.83-2.97
Sm  0.6219  0.5288  0.8284  1 Pt 2.76, 5 Cl 2.83-2.97
Sm  0.8284  0.6219  0.5288  1 Pt 2.76, 5 Cl 2.83-2.97
Pt  0.5000  0.5000  0.5000  6 Sm 2.76
Cl  0.0271  0.3302  0.1171  3 Sm 2.78-2.93
Cl  0.1171  0.0271  0.3302  3 Sm 2.78-2.93
Cl  0.1869  0.7097  0.5800  3 Sm 2.83-2.97
Cl  0.2903  0.4200  0.8131  3 Sm 2.83-2.97
Cl  0.3302  0.1171  0.0271  3 Sm 2.78-2.93
Cl  0.4200  0.8131  0.2903  3 Sm 2.83-2.97
Cl  0.5800  0.1869  0.7097  3 Sm 2.83-2.97
Cl  0.6698  0.8829  0.9729  3 Sm 2.78-2.93
Cl  0.7097  0.5800  0.1869  3 Sm 2.83-2.97
Cl  0.8131  0.2903  0.4200  3 Sm 2.83-2.97
Cl  0.8829  0.9729  0.6698  3 Sm 2.78-2.93
Cl  0.9729  0.6698  0.8829  3 Sm 2.78-2.93



Sm3TePtCl: optimized geometry, PBE.

## Properties
**Formation energy from raw total energies**: -1.22 eV/atom

a b c (Å): 8.5227 4.2543 9.5670
angles (deg): 90.00 102.49 90.00
Last column: nearest neighbours and their distance in Å.
Element x y z (fractional)
Sm  0.0599  0.2500  0.3382  3 Pt 2.87-2.92
Sm  0.2217  0.2500  0.9746  3 Cl 2.82-3.14, 1 Pt 3.04
Sm  0.3818  0.7500  0.6117  1 Cl 2.75, 2 Pt 2.90
Sm  0.6182  0.2500  0.3883  1 Cl 2.75, 2 Pt 2.90
Sm  0.7783  0.7500  0.0254  3 Cl 2.82-3.14, 1 Pt 3.04
Sm  0.9401  0.7500  0.6618  3 Pt 2.87-2.92
Te  0.3163  0.7500  0.2576  7 Sm 3.26-3.40, 1 Cl 3.64
Te  0.6837  0.2500  0.7424  7 Sm 3.26-3.40, 1 Cl 3.64
Pt  0.1631  0.2500  0.6499  6 Sm 2.87-3.04
Pt  0.8369  0.7500  0.3501  6 Sm 2.87-3.04
Cl  0.4056  0.7500  0.9025  3 Sm 2.75-2.82, 2 Cl 3.05
Cl  0.5944  0.2500  0.0975  3 Sm 2.75-2.82, 2 Cl 3.05



Sm8Te4Pt3Cl: optimized geometry, PBE.

## Properties
**Formation energy from raw total energies**: -1.31 eV/atom

a b c (Å): 8.8632 8.8632 8.8632
angles (deg): 57.20 57.20 57.20
Last column: nearest neighbours and their distance in Å.
Element x y z (fractional)
Sm  0.2258  0.7480  0.7480  2 Pt 2.90, 1 Cl 3.04, 3 Te 3.11-3.24
Sm  0.2364  0.2364  0.2364  3 Pt 2.90
Sm  0.2520  0.2520  0.7742  2 Pt 2.90, 1 Cl 3.04, 3 Te 3.11-3.24
Sm  0.2520  0.7742  0.2520  2 Pt 2.90, 1 Cl 3.04, 3 Te 3.11-3.24
Sm  0.7480  0.2258  0.7480  2 Pt 2.90, 1 Cl 3.04, 3 Te 3.11-3.24
Sm  0.7480  0.7480  0.2258  2 Pt 2.90, 1 Cl 3.04, 3 Te 3.11-3.24
Sm  0.7636  0.7636  0.7636  3 Pt 2.90
Sm  0.7742  0.2520  0.2520  2 Pt 2.90, 1 Cl 3.04, 3 Te 3.11-3.24
Te  0.0000  0.0000  0.0000  6 Sm 3.11
Te  0.0000  0.5000  0.5000  6 Sm 3.24-3.26
Te  0.5000  0.0000  0.5000  6 Sm 3.24-3.26
Te  0.5000  0.5000  0.0000  6 Sm 3.24-3.26
Pt  0.0000  0.0000  0.5000  6 Sm 2.90
Pt  0.0000  0.5000  0.0000  6 Sm 2.90
Pt  0.5000  0.0000  0.0000  6 Sm 2.90
Cl  0.5000  0.5000  0.5000  6 Sm 3.04



Sm4Te2PtCl: optimized geometry, PBE.

## Properties
**Formation energy from raw total energies**: -1.34 eV/atom

a b c (Å): 7.4766 4.1830 7.6877
angles (deg): 90.00 108.59 90.00
Last column: nearest neighbours and their distance in Å.
Element x y z (fractional)
Sm  0.2203  0.0000  0.2176  2 Pt 2.85, 1 Cl 3.07, 1 Te 3.12
Sm  0.2473  0.5000  0.7716  1 Pt 2.93, 2 Cl 2.99, 3 Te 3.11-3.23
Sm  0.7527  0.5000  0.2284  1 Pt 2.93, 2 Cl 2.99, 3 Te 3.11-3.23
Sm  0.7797  0.0000  0.7824  2 Pt 2.85, 1 Cl 3.07, 1 Te 3.12
Te  0.0000  0.0000  0.5000  6 Sm 3.11-3.12
Te  0.5000  0.5000  0.5000  6 Sm 3.23-3.25
Pt  0.0000  0.5000  0.0000  6 Sm 2.85-2.93
Cl  0.5000  0.0000  0.0000  6 Sm 2.99-3.07



Sn2Pt2Cl: optimized geometry, PBE.

## Properties
**Formation energy from raw total energies**: -0.24 eV/atom

a b c (Å): 4.7808 4.7808 10.3640
angles (deg): 90.00 90.00 90.00
Last column: nearest neighbours and their distance in Å.
Element x y z (fractional)
Sn  0.0000  0.5000  0.2500  4 Pt 2.71
Sn  0.0000  0.5000  0.7500  4 Pt 2.71
Sn  0.5000  0.0000  0.2500  4 Pt 2.71
Sn  0.5000  0.0000  0.7500  4 Pt 2.71
Pt  0.0000  0.0000  0.1273  1 Pt 2.64, 4 Sn 2.71
Pt  0.0000  0.0000  0.8727  1 Pt 2.64, 4 Sn 2.71
Pt  0.5000  0.5000  0.3727  1 Pt 2.64, 4 Sn 2.71
Pt  0.5000  0.5000  0.6273  1 Pt 2.64, 4 Sn 2.71
Cl  0.0000  0.0000  0.5000  8 Sn 3.53, 10 Pt 3.63-3.86
Cl  0.5000  0.5000  0.0000  8 Sn 3.53, 10 Pt 3.63-3.86